Record 1
Below is a relaxed ScInW2 crystal, with properties calculated at the PBE level.

Unit cell a=9.6243 b=2.8484 c=5.3962 alpha=90.00 beta=94.99 gamma=90.00
Last column: nearest neighbours and their distance in Å.
Space group Cm (No. 8)
Symmetry-distinct sites (fractional):
Sc (0.0000, 0.0000, 0.0000) (multiplicity 2)  7 W 2.84-3.15, 2 Sc 2.85, 3 In 2.87-3.00
In (0.2483, 0.5000, 0.2484) (multiplicity 2)  2 In 2.85, 3 Sc 2.87-3.00, 7 W 2.99-3.10
W (0.2427, 0.0000, 0.7367) (multiplicity 2)  5 W 2.74-2.98, 1 Sc 2.84, 2 In 3.00
W (0.4897, 0.0000, 0.5178) (multiplicity 2)  5 W 2.74-2.98, 2 Sc 2.96, 3 In 2.99

Output
Theoretical density (g/cm3): 11.89
Uncorrected energy (eV/atom): -8.370
ΔE_f (eV/atom): 0.37



Record 2
Below is a relaxed ZnIr4 crystal, with properties calculated at the PBE level.

Unit cell a=6.1002 b=6.1002 c=3.8749 alpha=90.00 beta=90.00 gamma=90.00
Last column: nearest neighbours and their distance in Å.
Space group I4/m (No. 87)
Symmetry-distinct sites (fractional):
Zn (0.0000, 0.0000, 0.0000) (multiplicity 2)  12 Ir 2.70-2.76
Ir (0.1032, 0.6958, 0.5000) (multiplicity 8)  3 Zn 2.70-2.76, 9 Ir 2.70-2.77

Output
Theoretical density (g/cm3): 19.22
Uncorrected energy (eV/atom): -7.386
ΔE_f (eV/atom): -0.04



Record 3
Below is a relaxed NbFe3Rh4 crystal, with properties calculated at the PBE level.

Unit cell a=8.7639 b=5.5685 c=4.5881 alpha=90.00 beta=90.00 gamma=90.00
Last column: nearest neighbours and their distance in Å.
Space group Pmma (No. 51)
Symmetry-distinct sites (fractional):
Nb (0.0000, 0.0000, 0.0000) (multiplicity 2)  8 Rh 2.69-2.70, 4 Fe 2.78-2.81
Fe (0.0000, 0.5000, 0.0000) (multiplicity 2)  8 Rh 2.64-2.67, 2 Fe 2.73, 2 Nb 2.78
Fe (0.2500, 0.0000, 0.3844) (multiplicity 2)  8 Rh 2.65-2.76, 2 Fe 2.79, 2 Nb 2.81
Fe (0.2500, 0.5000, 0.3546) (multiplicity 2)  8 Rh 2.60-2.72, 4 Fe 2.73-2.79
Rh (0.0000, 0.2554, 0.5000) (multiplicity 4)  6 Fe 2.66-2.67, 2 Nb 2.70, 4 Rh 2.72-2.84
Rh (0.2500, 0.2582, 0.8704) (multiplicity 4)  6 Fe 2.60-2.76, 2 Nb 2.69, 4 Rh 2.69-2.88

Output
Theoretical density (g/cm3): 9.97
Uncorrected energy (eV/atom): -8.265
ΔE_f (eV/atom): -0.16



Record 4
Below is a relaxed AlAg6F8 crystal, with properties calculated at the PBE level.

Unit cell a=6.7973 b=6.7973 c=6.0223 alpha=90.00 beta=90.00 gamma=120.00
Last column: nearest neighbours and their distance in Å.
Space group P-3 (No. 147)
Symmetry-distinct sites (fractional):
Al (0.0000, 0.0000, 0.0000) (multiplicity 1)  6 F 1.83
Ag (0.0476, 0.5225, 0.7641) (multiplicity 6)  4 F 2.37-2.62
F (0.1260, 0.2547, 0.1754) (multiplicity 6)  1 Al 1.83
F (0.3333, 0.6667, 0.4621) (multiplicity 2)  6 Ag 2.48-2.62

Output
Theoretical density (g/cm3): 5.69
Formation energy without anion corrections (eV/atom): -1.53
Uncorrected energy (eV/atom): -3.919



Record 5
Below is a relaxed TiTcO2F crystal, with properties calculated at the PBE level.

Unit cell a=3.9224 b=3.9224 c=3.9989 alpha=90.00 beta=90.00 gamma=90.00
Last column: nearest neighbours and their distance in Å.
Space group P4/mmm (No. 123)
Symmetry-distinct sites (fractional):
Ti (0.0000, 0.0000, 0.0000) (multiplicity 1)  4 O 1.96, 2 F 2.00
Tc (0.5000, 0.5000, 0.5000) (multiplicity 1)  4 F 2.77, 8 O 2.80
O (0.0000, 0.5000, 0.0000) (multiplicity 2)  2 Ti 1.96
F (0.0000, 0.0000, 0.5000) (multiplicity 1)  2 Ti 2.00

Output
Theoretical density (g/cm3): 5.31
Formation energy without anion corrections (eV/atom): -1.47
Uncorrected energy (eV/atom): -7.481



Record 6
Below is a relaxed HoInGe crystal, with properties calculated at the PBE level.

Unit cell a=3.5651 b=3.5651 c=11.1206 alpha=90.00 beta=90.00 gamma=90.00
Last column: nearest neighbours and their distance in Å.
Space group I4mm (No. 107)
Symmetry-distinct sites (fractional):
Ho (0.0000, 0.0000, 0.0000) (multiplicity 2)  4 Ge 3.13, 5 In 3.32-3.40
In (0.0000, 0.0000, 0.3060) (multiplicity 2)  4 Ge 2.96
Ge (0.0000, 0.0000, 0.6667) (multiplicity 2)  4 In 2.96, 4 Ho 3.13

Output
Theoretical density (g/cm3): 8.28
Uncorrected energy (eV/atom): -4.251
ΔE_f (eV/atom): -0.27



Record 7
Below is a relaxed NaBeN crystal, with properties calculated at the PBE level.

Unit cell a=3.0671 b=4.7574 c=5.8266 alpha=68.23 beta=74.75 gamma=71.20
Last column: nearest neighbours and their distance in Å.
Space group P-1 (No. 2)
Symmetry-distinct sites (fractional):
Na (0.0875, 0.1653, 0.1586) (multiplicity 2)  4 N 2.43-2.65, 1 Be 2.57
Be (0.2707, 0.5744, 0.3859) (multiplicity 2)  3 N 1.62-1.76
N (0.2280, 0.3395, 0.7028) (multiplicity 2)  3 Be 1.62-1.76

Output
Theoretical density (g/cm3): 2.07
Formation energy without anion corrections (eV/atom): -0.57
Uncorrected energy (eV/atom): -5.029



Record 8
Below is a relaxed OsS3Cl crystal, with properties calculated at the PBE level.

Unit cell a=4.4442 b=4.4442 c=4.4442 alpha=90.00 beta=90.00 gamma=90.00
Last column: nearest neighbours and their distance in Å.
Space group Pm-3m (No. 221)
Symmetry-distinct sites (fractional):
Os (0.0000, 0.0000, 0.0000) (multiplicity 1)  12 S 3.14
S (0.0000, 0.5000, 0.5000) (multiplicity 3)  2 Cl 2.22
Cl (0.5000, 0.5000, 0.5000) (multiplicity 1)  6 S 2.22

Output
Theoretical density (g/cm3): 6.09
Formation energy without anion corrections (eV/atom): 2.00
Uncorrected energy (eV/atom): -3.087



Record 9
Below is a relaxed TbPm6Pr2Er crystal, with properties calculated at the PBE level.

Unit cell a=9.1978 b=15.3528 c=9.8642 alpha=90.00 beta=98.69 gamma=90.00
Last column: nearest neighbours and their distance in Å.
Space group C2/c (No. 15)
Symmetry-distinct sites (fractional):
Tb (0.0000, 0.0184, 0.2500) (multiplicity 4)  4 Pr 3.42-3.44, 4 Pm 3.63-3.69
Pm (0.0634, 0.1869, 0.9443) (multiplicity 8)  7 Pm 3.46-3.83, 1 Pr 3.55, 1 Tb 3.69
Pm (0.1030, 0.3954, 0.1194) (multiplicity 8)  3 Pr 3.29-3.52, 4 Pm 3.32-3.63, 2 Er 3.47-3.63
Pm (0.2039, 0.2211, 0.3104) (multiplicity 8)  3 Pm 3.32-3.68, 1 Pr 3.45, 1 Er 3.49, 1 Tb 3.63
Pr (0.2458, 0.0509, 0.5419) (multiplicity 8)  5 Pm 3.29-3.55, 2 Tb 3.42-3.44, 1 Er 3.61
Er (0.0000, 0.4077, 0.7500) (multiplicity 4)  6 Pm 3.47-3.63, 2 Pr 3.61

Output
Theoretical density (g/cm3): 7.13
Uncorrected energy (eV/atom): -4.611
ΔE_f (eV/atom): 0.11



Record 10
Below is a relaxed Pm4Pr3In4 crystal, with properties calculated at the PBE level.

Unit cell a=3.7922 b=9.6569 c=19.3621 alpha=90.00 beta=90.00 gamma=90.00
Last column: nearest neighbours and their distance in Å.
Space group Immm (No. 71)
Symmetry-distinct sites (fractional):
Pm (0.0000, 0.1842, 0.1646) (multiplicity 8)  4 In 3.29-3.32, 1 Pm 3.56
Pr (0.0000, 0.0000, 0.4033) (multiplicity 4)  6 In 3.23-3.41
Pr (0.0000, 0.5000, 0.5000) (multiplicity 2)  4 In 3.30
In (0.0000, 0.2800, 0.0000) (multiplicity 4)  6 Pr 3.30-3.41, 2 Pm 3.32
In (0.0000, 0.5000, 0.2314) (multiplicity 4)  2 Pr 3.23, 6 Pm 3.29-3.31

Output
Theoretical density (g/cm3): 6.85
Uncorrected energy (eV/atom): -4.333
ΔE_f (eV/atom): -0.31



Record 11
Below is a relaxed ErPuTh2N4 crystal, with properties calculated at the PBE level.

Unit cell a=6.1617 b=3.5795 c=6.1879 alpha=90.00 beta=109.66 gamma=90.00
Last column: nearest neighbours and their distance in Å.
Space group P2/m (No. 10)
Symmetry-distinct sites (fractional):
Er (0.0000, 0.0000, 0.0000) (multiplicity 1)  6 N 2.48-2.49
Pu (0.0000, 0.5000, 0.5000) (multiplicity 1)  6 N 2.49-2.52
Th (0.5000, 0.0000, 0.5000) (multiplicity 1)  6 N 2.56-2.57
Th (0.5000, 0.5000, 0.0000) (multiplicity 1)  6 N 2.53-2.56
N (0.2391, 0.0000, 0.7479) (multiplicity 2)  1 Er 2.48, 2 Pu 2.49, 3 Th 2.56-2.57
N (0.2426, 0.5000, 0.2443) (multiplicity 2)  2 Er 2.49, 1 Pu 2.52, 3 Th 2.53-2.56

Output
Theoretical density (g/cm3): 12.03
Formation energy without anion corrections (eV/atom): -1.51
Uncorrected energy (eV/atom): -9.890



Record 12
Below is a relaxed K3RbPt8 crystal, with properties calculated at the PBE level.

Unit cell a=5.5539 b=5.5539 c=27.3000 alpha=90.00 beta=90.00 gamma=120.00
Last column: nearest neighbours and their distance in Å.
Space group R3m (No. 160, hexagonal axes)
Symmetry-distinct sites (fractional):
K (0.0000, 0.0000, 0.0000) (multiplicity 3)  12 Pt 3.26-3.29, 3 Rb 3.40, 1 K 3.41
K (0.0000, 0.0000, 0.1249) (multiplicity 3)  12 Pt 3.24-3.26, 4 K 3.40-3.41
K (0.0000, 0.0000, 0.4999) (multiplicity 3)  12 Pt 3.24-3.26, 3 K 3.40, 1 Rb 3.42
Rb (0.0000, 0.0000, 0.6252) (multiplicity 3)  12 Pt 3.26-3.28, 4 K 3.40-3.42
Pt (0.0000, 0.0000, 0.3127) (multiplicity 3)  6 Pt 2.80-2.81
Pt (0.0000, 0.0000, 0.8125) (multiplicity 3)  6 Pt 2.77
Pt (0.0009, 0.5004, 0.0634) (multiplicity 9)  6 Pt 2.77-2.80
Pt (0.1670, 0.3339, 0.8950) (multiplicity 9)  6 Pt 2.77-2.81

Output
Theoretical density (g/cm3): 12.05
Uncorrected energy (eV/atom): -4.538
ΔE_f (eV/atom): -0.16